Entry from Alexandria via LeMat-Bulk: AlWF2 after structural relaxation (PBE+U).

Cell: 6.0257 6.0257 6.0257 Å, 90.00 90.00 90.00°
Fractional positions:
Al (0.0000, 0.0000, 0.0000)
Al (0.0000, 0.5000, 0.5000)
Al (0.5000, 0.0000, 0.5000)
Al (0.5000, 0.5000, 0.0000)
W (0.0000, 0.0000, 0.5000)
W (0.0000, 0.5000, 0.0000)
W (0.5000, 0.0000, 0.0000)
W (0.5000, 0.5000, 0.5000)
F (0.2500, 0.2500, 0.2500)
F (0.2500, 0.2500, 0.7500)
F (0.2500, 0.7500, 0.2500)
F (0.2500, 0.7500, 0.7500)
F (0.7500, 0.2500, 0.2500)
F (0.7500, 0.2500, 0.7500)
F (0.7500, 0.7500, 0.2500)
F (0.7500, 0.7500, 0.7500)

Properties
**Energy relative to the lowest polymorph listed for this composition**: 58.5 kJ per mole of atoms
**Uncorrected energy**: -3.8592 eV per atom
**DOS at the Fermi energy**: 0.389 states/eV per atom
**Space-group type**: No. 225
**Total magnetization**: 0.00 μB per formula unit